The following is a DFT calculation (PBE-GGA) of a relaxed structure of Tb2Pm3NdSe6.

Calculated values
- total magnetic moment (μB per cell) = 0.0
- SG = C2/m (12)

abc: 7.2211 7.2211 7.2341
angles: 99.54 99.54 120.25
Element x y z (fractional)
Tb 0.1660 0.8340 0.0000
Tb 0.8340 0.1660 0.0000
Pm 0.0000 0.0000 0.5000
Pm 0.3386 0.6614 0.5000
Pm 0.6614 0.3386 0.5000
Nd 0.5000 0.5000 0.0000
Se 0.0766 0.4182 0.7539
Se 0.2394 0.2394 0.2419
Se 0.4182 0.0766 0.7539
Se 0.5818 0.9234 0.2461
Se 0.7606 0.7606 0.7581
Se 0.9234 0.5818 0.2461

The following is a DFT calculation (PBE-GGA) of a relaxed structure of Tb3Pm2NdSe6.

Calculated values
- total magnetic moment (μB per cell) = 0.0
- SG = C2/m (12)

abc: 7.1717 7.1717 7.2435
angles: 99.47 99.47 120.31
Element x y z (fractional)
Tb 0.0000 0.0000 0.0000
Tb 0.3343 0.6657 0.0000
Tb 0.6657 0.3343 0.0000
Pm 0.1665 0.8335 0.5000
Pm 0.8335 0.1665 0.5000
Nd 0.5000 0.5000 0.5000
Se 0.0780 0.4131 0.2395
Se 0.2517 0.2517 0.7599
Se 0.4131 0.0780 0.2395
Se 0.5869 0.9220 0.7605
Se 0.7483 0.7483 0.2401
Se 0.9220 0.5869 0.7605

The following is a DFT calculation (PBE-GGA) of a relaxed structure of Tb2PmNdSe4.

Calculated values
- total magnetic moment (μB per cell) = 0.0
- SG = P2/m (10)

abc: 7.1559 4.0950 7.3113
angles: 90.00 108.75 90.00
Element x y z (fractional)
Tb 0.0000 0.0000 0.0000
Tb 0.5000 0.5000 0.0000
Pm 0.0000 0.5000 0.5000
Nd 0.5000 0.0000 0.5000
Se 0.2448 0.5000 0.2384
Se 0.2525 0.0000 0.7607
Se 0.7475 0.0000 0.2393
Se 0.7552 0.5000 0.7616

The following is a DFT calculation (PBE-GGA) of a relaxed structure of Pm2Nd2Te2Se3.

Calculated values
- total magnetic moment (μB per cell) = 0.0
- SG = I4/mmm (139)

abc: 8.9330 8.9330 8.9330
angles: 142.45 142.45 54.15
Element x y z (fractional)
Pm 0.0000 0.5000 0.5000
Pm 0.5000 0.0000 0.5000
Nd 0.1964 0.1964 0.0000
Nd 0.8036 0.8036 0.0000
Te 0.3950 0.3950 0.0000
Te 0.6050 0.6050 0.0000
Se 0.0000 0.0000 0.0000
Se 0.2500 0.7500 0.5000
Se 0.7500 0.2500 0.5000

no.,formation energy (no corrections) (eV per atom),total energy (eV/f.u.)
1,-1.817,-70.994
2,-1.809,-70.773
3,-1.806,-47.165
4,-1.480,-49.098